Model 1:
A plane-wave DFT calculation with PBE was carried out for Pm5Tl2Pb2 after structural relaxation.

The structure belongs to space group Cmce (No. 64); the cell edges are 16.229, 8.447 and 8.349 Å and the angles 90.00°, 90.00° and 90.00°. The distinct sites, in fractional coordinates, are Pm at (0.000, 0.000, 0.000), Pm at (0.139, 0.176, 0.330), Tl at (0.000, 0.128, 0.628) and Pb at (0.207, 0.000, 0.000).

The calculation puts the density at 9.0 g/cm3. The total magnetic moment is 0.000 μB per formula unit.

---

Model 2:
A plane-wave DFT calculation with PBE was carried out for Pm5Tl2Pb2 after structural relaxation.

The structure belongs to space group Ima2 (No. 46); the cell edges are 19.246, 6.705 and 8.851 Å and the angles 90.00°, 90.00° and 90.00°. The distinct sites, in fractional coordinates, are Pm at (0.083, 0.133, 0.000), Pm at (0.164, 0.611, 0.145), Pm at (0.250, 0.121, 0.298), Tl at (0.000, 0.000, 0.687), Tl at (0.250, 0.554, 0.456) and Pb at (0.075, 0.591, 0.840).

The calculation puts the density at 9.0 g/cm3. The total magnetic moment is 0.000 μB per formula unit.

---

Least stable: model 2

---

Model 1:
A plane-wave DFT calculation with PBE was carried out for Pm5TmPb6 after structural relaxation.

The structure belongs to space group C2/m (No. 12); the cell edges are 16.121, 9.132 and 5.024 Å and the angles 90.00°, 108.10° and 90.00°. The distinct sites, in fractional coordinates, are Pm at (0.000, 0.000, 0.000), Pm at (0.163, 0.500, 0.663), Pm at (0.167, 0.000, 0.667), Tm at (0.000, 0.500, 0.000), Pb at (0.000, 0.252, 0.500) and Pb at (0.165, 0.251, 0.165).

The calculation puts the density at 10.1 g/cm3. The total magnetic moment is 0.000 μB per formula unit.

---

Model 2:
A plane-wave DFT calculation with PBE was carried out for Pm5TmPb6 after structural relaxation.

The structure belongs to space group C2/m (No. 12); the cell edges are 5.944, 14.579 and 8.746 Å and the angles 90.00°, 102.23° and 90.00°. The distinct sites, in fractional coordinates, are Pm at (0.000, 0.000, 0.000), Pm at (0.000, 0.329, 0.000), Pm at (0.000, 0.338, 0.500), Tm at (0.000, 0.000, 0.500), Pb at (0.004, 0.164, 0.744) and Pb at (0.023, 0.500, 0.246).

The calculation puts the density at 9.6 g/cm3. The total magnetic moment is 0.000 μB per formula unit.

---

Least stable: model 2

---

Model 1:
A plane-wave DFT calculation with PBE was carried out for PmTm2Pb after structural relaxation.

The structure belongs to space group P2_1/m (No. 11); the cell edges are 6.822, 5.250 and 6.824 Å and the angles 90.00°, 103.68° and 90.00°. The distinct sites, in fractional coordinates, are Pm at (0.111, 0.250, 0.401), Tm at (0.150, 0.250, 0.923), Tm at (0.367, 0.750, 0.233) and Pb at (0.383, 0.750, 0.729).

The calculation puts the density at 9.7 g/cm3. The total magnetic moment is 0.000 μB per formula unit.

---

Model 2:
A plane-wave DFT calculation with PBE was carried out for PmTm2Pb after structural relaxation.

The structure belongs to space group P4/mmm (No. 123); the cell edges are 3.636, 3.636 and 9.160 Å and the angles 90.00°, 90.00° and 90.00°. The distinct sites, in fractional coordinates, are Pm at (0.000, 0.000, 0.000), Tm at (0.500, 0.500, 0.268) and Pb at (0.000, 0.000, 0.500).

The calculation puts the density at 9.5 g/cm3. The total magnetic moment is 0.000 μB per formula unit.

---

Least stable: model 2

---

Model 1:
A plane-wave DFT calculation with PBE was carried out for PmTm2Pb after structural relaxation.

The structure belongs to space group P4/mmm (No. 123); the cell edges are 4.874, 4.874 and 4.835 Å and the angles 90.00°, 90.00° and 90.00°. The distinct sites, in fractional coordinates, are Pm at (0.000, 0.000, 0.000), Tm at (0.000, 0.500, 0.500) and Pb at (0.500, 0.500, 0.000).

The calculation puts the density at 10.0 g/cm3. The total magnetic moment is 0.005 μB per formula unit.

---

Model 2:
A plane-wave DFT calculation with PBE was carried out for PmTm2Pb after structural relaxation.

The structure belongs to space group F-43m (No. 216); the cell edges are 7.756, 7.756 and 7.756 Å and the angles 90.00°, 90.00° and 90.00°. The distinct sites, in fractional coordinates, are Pm at (0.000, 0.000, 0.000), Tm at (0.000, 0.000, 0.500), Tm at (0.250, 0.250, 0.250) and Pb at (0.250, 0.250, 0.750).

The calculation puts the density at 9.8 g/cm3. The total magnetic moment is 0.002 μB per formula unit.

---

Model 3:
A plane-wave DFT calculation with PBE was carried out for PmTm2Pb after structural relaxation.

The structure belongs to space group Fm-3m (No. 225); the cell edges are 7.728, 7.728 and 7.728 Å and the angles 90.00°, 90.00° and 90.00°. The distinct sites, in fractional coordinates, are Pm at (0.000, 0.000, 0.000), Tm at (0.250, 0.250, 0.250) and Pb at (0.000, 0.000, 0.500).

The calculation puts the density at 9.9 g/cm3. The total magnetic moment is 1.292 μB per formula unit.

---

Model 4:
A plane-wave DFT calculation with PBE was carried out for PmTm2Pb after structural relaxation.

The structure belongs to space group R-3m (No. 166, hexagonal axes); the cell edges are 3.5272, 3.5272 and 35.9140 Å and the angles 90.00°, 90.00° and 120.00°. The distinct sites, in fractional coordinates, are Pm at (0.0000, 0.0000, 0.0000), Tm at (0.0000, 0.0000, 0.4125) and Pb at (0.0000, 0.0000, 0.5000).

The calculation puts the density at 8.9 g/cm3. The total magnetic moment is 0.000 μB per formula unit.

---

Least stable: model 4